Entry 1:
Density functional theory data (GGA-PBE) for CeYIn after structural relaxation.

a = 5.8288 Å, b = 5.8285 Å, c = 7.3580 Å
α = 72.22°, β = 72.22°, γ = 46.33°
With the nearest neighbours (Å) after each atom.
Fractional coordinates of all 6 atoms:
In 0.9988 0.4988 0.7303  5 Y 3.26-3.40, 4 Ce 3.33, 1 In 3.38
In 0.0012 0.5012 0.2697  5 Y 3.26-3.40, 4 Ce 3.33, 1 In 3.38
Y 0.6651 0.1651 0.4100  5 In 3.26-3.40, 3 Y 3.34-3.45, 3 Ce 3.55-3.62
Y 0.3349 0.8349 0.5900  5 In 3.26-3.40, 3 Y 3.34-3.45, 3 Ce 3.55-3.62
Ce 0.3642 0.8642 0.0662  1 Ce 2.75
Ce 0.6358 0.1358 0.9338  1 Ce 2.75

## Properties
Total DFT energy (no corrections), eV per atom: -5.3096
Density of states at the Fermi level, states/eV per cell: 12.53
Energy relative to the elements, kJ/mol of formula units: -76

Entry 2:
Density functional theory data (GGA-PBE) for Ce2YIn after structural relaxation.

a = 5.2017 Å, b = 4.6272 Å, c = 4.6272 Å
α = 90.00°, β = 90.00°, γ = 90.00°
With the nearest neighbours (Å) after each atom.
Fractional coordinates of all 4 atoms:
Ce 0.0000 0.0000 0.5000  4 Ce 3.27, 4 In 3.48, 4 Y 3.48
Ce 0.0000 0.5000 0.0000  4 Ce 3.27, 4 In 3.48, 4 Y 3.48
In 0.5000 0.5000 0.5000  4 Y 3.27, 8 Ce 3.48
Y 0.5000 0.0000 0.0000  4 In 3.27, 8 Ce 3.48

## Properties
Total DFT energy (no corrections), eV per atom: -5.4832
Density of states at the Fermi level, states/eV per cell: 9.75
Energy relative to the elements, kJ/mol of formula units: -83

Entry 3:
Density functional theory data (GGA-PBE) for CeYIn3 after structural relaxation.

a = 9.4287 Å, b = 9.4287 Å, c = 9.4287 Å
α = 37.85°, β = 37.85°, γ = 37.85°
With the nearest neighbours (Å) after each atom.
Fractional coordinates of all 10 atoms:
Ce 0.1926 0.1926 0.1926  1 Y 3.07, 9 In 3.38-3.42
Ce 0.8074 0.8074 0.8074  1 Y 3.07, 9 In 3.38-3.42
In 0.2508 0.7508 0.7508  4 In 3.06, 3 Y 3.30-3.42, 3 Ce 3.38-3.42
In 0.2492 0.2492 0.7492  4 In 3.06, 3 Y 3.30-3.42, 3 Ce 3.38-3.42
In 0.7492 0.2492 0.2492  4 In 3.06, 3 Y 3.30-3.42, 3 Ce 3.38-3.42
In 0.7508 0.7508 0.2508  4 In 3.06, 3 Y 3.30-3.42, 3 Ce 3.38-3.42
In 0.2492 0.7492 0.2492  4 In 3.06, 3 Y 3.30-3.42, 3 Ce 3.38-3.42
In 0.7508 0.2508 0.7508  4 In 3.06, 3 Y 3.30-3.42, 3 Ce 3.38-3.42
Y 0.3096 0.3096 0.3096  1 Ce 3.07, 9 In 3.30-3.42
Y 0.6904 0.6904 0.6904  1 Ce 3.07, 9 In 3.30-3.42

## Properties
Total DFT energy (no corrections), eV per atom: -4.3041
Density of states at the Fermi level, states/eV per cell: 18.92
Energy relative to the elements, kJ/mol of formula units: -88

Look up the energy relative to the elements of the second one.
-83 kJ/mol of formula units